1.
Density functional theory data (PBE-GGA) for a geometry-optimized TmScSnC structure.

The space group is P-6m2 (No. 187) and the conventional cell measures 3.4691, 3.4691 and 15.2762 Å, with angles of 90.00, 90.00 and 120.00 degrees. The inequivalent atoms are Tm at (0.0000, 0.0000, 0.1715), Sc at (0.6667, 0.3333, 0.3366), Sn at (0.0000, 0.0000, 0.5000), Sn at (0.6667, 0.3333, 0.0000) and C at (0.3333, 0.6667, 0.2581).

The calculation puts the offset from the most stable computed form at 0.8 meV per atom.

***

2.
Density functional theory data (PBE-GGA) for a geometry-optimized TmSc3Sn2C2 structure.

The space group is P3m1 (No. 156) and the conventional cell measures 3.4221, 3.4221 and 15.0815 Å, with angles of 90.00, 90.00 and 120.00 degrees. The inequivalent atoms are Tm at (0.0000, 0.0000, 0.0000), Sc at (0.0000, 0.0000, 0.6612), Sc at (0.6667, 0.3333, 0.1683), Sc at (0.6667, 0.3333, 0.5018), Sn at (0.0000, 0.0000, 0.3353), Sn at (0.6667, 0.3333, 0.8257), C at (0.3333, 0.6667, 0.0884) and C at (0.3333, 0.6667, 0.5816).

The electronic total energy is -0.2532 Ha/atom.

***

3.
Density functional theory data (PBE-GGA) for a geometry-optimized Sc4Sn3W2C3 structure.

The space group is C2/c (No. 15) and the conventional cell measures 9.836, 5.717 and 14.497 Å, with angles of 90.00, 102.87 and 90.00 degrees. The inequivalent atoms are Sc at (0.112, 0.074, 0.087), Sc at (0.216, 0.089, 0.413), Sn at (0.000, 0.113, 0.750), Sn at (0.156, 0.427, 0.249), W at (0.066, 0.411, 0.926), C at (0.078, 0.265, 0.500) and C at (0.250, 0.250, 0.000).

The electronic total energy is -0.2975 Ha/atom.